## 1
Computed, not measured: crystalline LaSc2Hg2 at its relaxed geometry at the PBE-GGA level of DFT.

Lattice parameters (Å, degrees): 4.661 4.661 7.142 70.96 70.96 90.00
Fractional coordinates of all 5 atoms:
Sc: 0.380 0.380 0.239
Sc: 0.620 0.620 0.761
Hg: 0.750 0.250 0.500
Hg: 0.250 0.750 0.500
La: 0.000 0.000 0.000

Calculated values
**Crystal system**: tetragonal
**Total magnetization**: 0.00 μB per formula unit
**N(E_F)**: 5.848 states/eV/f.u.


## 2
Computed, not measured: crystalline LaSc2Hg2 at its relaxed geometry at the PBE-GGA level of DFT.

Lattice parameters (Å, degrees): 8.436 8.436 3.583 90.00 90.00 90.00
Fractional coordinates of all 10 atoms:
Sc: 0.167 0.667 0.500
Sc: 0.667 0.833 0.500
Sc: 0.833 0.333 0.500
Sc: 0.333 0.167 0.500
Hg: 0.371 0.871 0.000
Hg: 0.871 0.629 0.000
Hg: 0.629 0.129 0.000
Hg: 0.129 0.371 0.000
La: 0.000 0.000 0.000
La: 0.500 0.500 0.000

Calculated values
**Crystal system**: tetragonal
**Total magnetization**: 0.00 μB per formula unit
**N(E_F)**: 5.313 states/eV/f.u.


## 3
Computed, not measured: crystalline LaSc2Hg2 at its relaxed geometry at the PBE-GGA level of DFT.

Lattice parameters (Å, degrees): 8.649 8.649 3.291 90.00 90.00 90.00
Last column: magnetic moment on the atom in μB.
Fractional coordinates of all 10 atoms:
Sc: 0.371 0.871 0.000  0.02
Sc: 0.871 0.629 0.000  0.03
Sc: 0.629 0.129 0.000  0.02
Sc: 0.129 0.371 0.000  0.03
Hg: 0.170 0.670 0.500  0.00
Hg: 0.670 0.830 0.500  -0.01
Hg: 0.830 0.330 0.500  0.00
Hg: 0.330 0.170 0.500  -0.01
La: 0.000 0.000 0.000  0.26
La: 0.500 0.500 0.000  0.26

Calculated values
**Crystal system**: tetragonal
**Total magnetization**: 0.51 μB per formula unit
**N(E_F)**: 6.642 states/eV/f.u.


## 4
Computed, not measured: crystalline LaSc2Hg2 at its relaxed geometry at the PBE-GGA level of DFT.

Lattice parameters (Å, degrees): 4.647 4.647 7.097 70.89 70.89 90.00
Fractional coordinates of all 5 atoms:
Sc: 0.750 0.250 0.500
Sc: 0.250 0.750 0.500
Hg: 0.388 0.388 0.224
Hg: 0.612 0.612 0.776
La: 0.000 0.000 0.000

Calculated values
**Crystal system**: tetragonal
**Total magnetization**: 0.00 μB per formula unit
**N(E_F)**: 7.392 states/eV/f.u.


Most stable structure - 3; separation to the second - 1.5 kJ/mol of atoms.


## 1
Computed, not measured: crystalline La2ScHg2 at its relaxed geometry at the PBE-GGA level of DFT.

Lattice parameters (Å, degrees): 8.527 8.527 4.099 90.00 90.00 90.00
Fractional coordinates of all 10 atoms:
Sc: 0.000 0.000 0.000
Sc: 0.500 0.500 0.000
Hg: 0.370 0.870 0.000
Hg: 0.870 0.630 0.000
Hg: 0.630 0.130 0.000
Hg: 0.130 0.370 0.000
La: 0.171 0.671 0.500
La: 0.671 0.829 0.500
La: 0.829 0.329 0.500
La: 0.329 0.171 0.500

Calculated values
**Crystal system**: tetragonal
**Total magnetization**: 0.00 μB per formula unit
**N(E_F)**: 6.250 states/eV/f.u.


## 2
Computed, not measured: crystalline La2ScHg2 at its relaxed geometry at the PBE-GGA level of DFT.

Lattice parameters (Å, degrees): 8.881 8.881 3.829 90.00 90.00 90.00
Fractional coordinates of all 10 atoms:
Sc: 0.000 0.000 0.000
Sc: 0.500 0.500 0.000
Hg: 0.139 0.639 0.500
Hg: 0.639 0.861 0.500
Hg: 0.861 0.361 0.500
Hg: 0.361 0.139 0.500
La: 0.340 0.840 0.000
La: 0.840 0.660 0.000
La: 0.660 0.160 0.000
La: 0.160 0.340 0.000

Calculated values
**Crystal system**: tetragonal
**Total magnetization**: 0.00 μB per formula unit
**N(E_F)**: 5.189 states/eV/f.u.


Most stable structure - 1; separation to the second - 17.7 kJ/mol of atoms.


## 1
Computed, not measured: crystalline LaScHg2 at its relaxed geometry at the PBE-GGA level of DFT.

Lattice parameters (Å, degrees): 9.722 9.722 9.722 21.60 21.60 21.60
Fractional coordinates of all 4 atoms:
Hg: 0.010 0.010 0.010
Hg: 0.490 0.490 0.490
La: 0.250 0.250 0.250
Sc: 0.750 0.750 0.750

Calculated values
**Crystal system**: trigonal
**Total magnetization**: 0.01 μB per formula unit
**N(E_F)**: 4.641 states/eV/f.u.


## 2
Computed, not measured: crystalline LaScHg2 at its relaxed geometry at the PBE-GGA level of DFT.

Lattice parameters (Å, degrees): 4.946 4.946 6.568 75.01 75.01 47.01
Fractional coordinates of all 4 atoms:
Hg: 0.012 0.012 0.945
Hg: 0.488 0.488 0.555
La: 0.250 0.250 0.250
Sc: 0.750 0.750 0.750

Calculated values
**Crystal system**: monoclinic
**Total magnetization**: 0.00 μB per formula unit
**N(E_F)**: 4.773 states/eV/f.u.


## 3
Computed, not measured: crystalline LaScHg2 at its relaxed geometry at the PBE-GGA level of DFT.

Lattice parameters (Å, degrees): 4.985 4.985 10.505 76.27 76.27 90.00
Last column: magnetic moment on the atom in μB.
Fractional coordinates of all 8 atoms:
Sc: 0.500 0.500 0.000  0.14
Sc: 0.250 0.750 0.500  0.14
Hg: 0.566 0.125 0.250  0.01
Hg: 0.184 0.625 0.250  0.01
Hg: 0.375 0.434 0.750  0.01
Hg: 0.875 0.816 0.750  0.01
La: 0.000 0.000 0.000  0.06
La: 0.750 0.250 0.500  0.06

Calculated values
**Crystal system**: tetragonal
**Total magnetization**: 0.35 μB per formula unit
**N(E_F)**: 6.066 states/eV/f.u.


Most stable structure - 2; separation to the second - 3.6 kJ/mol of atoms.


## 1
Computed, not measured: crystalline LaSc3Hg at its relaxed geometry at the PBE-GGA level of DFT.

Lattice parameters (Å, degrees): 5.203 5.203 5.203 90.00 90.00 90.00
Fractional coordinates of all 5 atoms:
Sc: 0.000 0.500 0.000
Sc: 0.000 0.000 0.500
Sc: 0.500 0.000 0.000
Hg: 0.500 0.500 0.500
La: 0.000 0.000 0.000

Calculated values
**Crystal system**: cubic
**Total magnetization**: 0.00 μB per formula unit
**N(E_F)**: 6.498 states/eV/f.u.


## 2
Computed, not measured: crystalline LaSc3Hg at its relaxed geometry at the PBE-GGA level of DFT.

Lattice parameters (Å, degrees): 5.363 5.363 5.363 90.00 90.00 90.00
Fractional coordinates of all 5 atoms:
Sc: 0.000 0.500 0.000
Sc: 0.000 0.000 0.500
Sc: 0.500 0.000 0.000
Hg: 0.000 0.000 0.000
La: 0.500 0.500 0.500

Calculated values
**Crystal system**: cubic
**Total magnetization**: 0.00 μB per formula unit
**N(E_F)**: 5.392 states/eV/f.u.


Most stable structure - 2; separation to the second - 64.1 kJ/mol of atoms.


## 1
Computed, not measured: crystalline La2HgSe at its relaxed geometry at the PBE-GGA level of DFT.

Lattice parameters (Å, degrees): 4.298 4.298 8.151 74.71 74.71 60.00
Fractional coordinates of all 4 atoms:
Hg: 0.250 0.250 0.250
Se: 0.750 0.750 0.750
La: 0.008 0.008 0.977
La: 0.492 0.492 0.523

Calculated values
**Crystal system**: trigonal
**Total magnetization**: 0.00 μB per formula unit
**N(E_F)**: 2.728 states/eV/f.u.


## 2
Computed, not measured: crystalline La2HgSe at its relaxed geometry at the PBE-GGA level of DFT.

Lattice parameters (Å, degrees): 5.399 5.399 5.399 60.00 60.00 60.00
Fractional coordinates of all 4 atoms:
Hg: 0.500 0.500 0.500
Se: 0.000 0.000 0.000
La: 0.250 0.250 0.250
La: 0.750 0.750 0.750

Calculated values
**Crystal system**: cubic
**Total magnetization**: 0.00 μB per formula unit
**N(E_F)**: 2.463 states/eV/f.u.


Most stable structure - 1; separation to the second - 27.2 kJ/mol of atoms.


## 1
Computed, not measured: crystalline La2HgSe at its relaxed geometry at the PBE-GGA level of DFT.

Lattice parameters (Å, degrees): 6.326 6.326 4.910 90.05 90.05 36.79
Fractional coordinates of all 4 atoms:
Hg: 0.259 0.259 0.125
La: 0.001 0.001 0.125
La: 0.752 0.752 0.625
Se: 0.488 0.488 0.625

Calculated values
**Crystal system**: monoclinic
**Total magnetization**: 0.00 μB per formula unit
**N(E_F)**: 3.271 states/eV/f.u.


## 2
Computed, not measured: crystalline La2HgSe at its relaxed geometry at the PBE-GGA level of DFT.

Lattice parameters (Å, degrees): 4.427 4.427 6.348 90.00 90.00 90.00
Fractional coordinates of all 4 atoms:
Hg: 0.500 0.500 0.875
La: 0.000 0.000 0.875
La: 0.500 0.500 0.375
Se: 0.000 0.000 0.375

Calculated values
**Crystal system**: tetragonal
**Total magnetization**: 0.00 μB per formula unit
**N(E_F)**: 3.957 states/eV/f.u.


Most stable structure - 2; separation to the second - 8.4 kJ/mol of atoms.


## 1
Computed, not measured: crystalline La2HgSe at its relaxed geometry at the PBE-GGA level of DFT.

Lattice parameters (Å, degrees): 4.188 4.188 8.515 75.77 75.77 60.00
Fractional coordinates of all 4 atoms:
La: 0.074 0.074 0.779
La: 0.259 0.259 0.223
Hg: 0.499 0.499 0.502
Se: 0.668 0.668 0.996

Calculated values
**Crystal system**: trigonal
**Total magnetization**: 0.00 μB per formula unit
**N(E_F)**: 2.707 states/eV/f.u.


## 2
Computed, not measured: crystalline La2HgSe at its relaxed geometry at the PBE-GGA level of DFT.

Lattice parameters (Å, degrees): 8.133 5.465 3.721 89.99 62.79 126.04
Fractional coordinates of all 4 atoms:
Hg: 0.500 0.500 0.000
La: 0.000 0.000 0.000
La: 0.500 0.000 0.500
Se: 0.000 0.500 0.500

Calculated values
**Crystal system**: orthorhombic
**Total magnetization**: 0.00 μB per formula unit
**N(E_F)**: 3.227 states/eV/f.u.


## 3
Computed, not measured: crystalline La2HgSe at its relaxed geometry at the PBE-GGA level of DFT.

Lattice parameters (Å, degrees): 3.649 3.667 9.015 65.95 90.00 90.00
Fractional coordinates of all 4 atoms:
Hg: 0.500 0.750 0.750
La: 0.000 0.982 0.018
La: 0.000 0.518 0.482
Se: 0.500 0.250 0.250

Calculated values
**Crystal system**: orthorhombic
**Total magnetization**: 0.01 μB per formula unit
**N(E_F)**: 4.165 states/eV/f.u.


Most stable structure - 1; separation to the second - 7.3 kJ/mol of atoms.


## 1
Computed, not measured: crystalline La2HgSe at its relaxed geometry at the PBE-GGA level of DFT.

Lattice parameters (Å, degrees): 4.611 4.184 12.614 99.55 90.00 90.00
Fractional coordinates of all 8 atoms:
La: 0.750 0.687 0.375
La: 0.250 0.313 0.625
La: 0.750 0.928 0.856
La: 0.250 0.072 0.144
Hg: 0.250 0.457 0.915
Hg: 0.750 0.543 0.085
Se: 0.250 0.192 0.384
Se: 0.750 0.808 0.616

Calculated values
**Crystal system**: orthorhombic
**Total magnetization**: 0.00 μB per formula unit
**N(E_F)**: 3.217 states/eV/f.u.


## 2
Computed, not measured: crystalline La2HgSe at its relaxed geometry at the PBE-GGA level of DFT.

Lattice parameters (Å, degrees): 5.564 5.564 5.564 125.07 125.07 81.42
Fractional coordinates of all 4 atoms:
Hg: 0.750 0.250 0.500
La: 0.000 0.000 0.000
La: 0.500 0.500 0.000
Se: 0.250 0.750 0.500

Calculated values
**Crystal system**: tetragonal
**Total magnetization**: 0.01 μB per formula unit
**N(E_F)**: 5.320 states/eV/f.u.


## 3
Computed, not measured: crystalline La2HgSe at its relaxed geometry at the PBE-GGA level of DFT.

Lattice parameters (Å, degrees): 8.475 8.475 8.475 153.52 152.59 38.47
Fractional coordinates of all 4 atoms:
Hg: 0.298 0.798 0.500
La: 0.964 0.964 0.000
La: 0.694 0.194 0.500
Se: 0.544 0.544 0.000

Calculated values
**Crystal system**: orthorhombic
**Total magnetization**: 0.12 μB per formula unit
**N(E_F)**: 5.082 states/eV/f.u.


## 4
Computed, not measured: crystalline La2HgSe at its relaxed geometry at the PBE-GGA level of DFT.

Lattice parameters (Å, degrees): 5.370 5.370 5.370 60.00 60.00 60.00
Fractional coordinates of all 4 atoms:
Hg: 0.500 0.500 0.500
La: 0.000 0.000 0.000
La: 0.250 0.250 0.250
Se: 0.750 0.750 0.750

Calculated values
**Crystal system**: cubic
**Total magnetization**: 0.02 μB per formula unit
**N(E_F)**: 5.790 states/eV/f.u.


Most stable structure - 1; separation to the second - 17.3 kJ/mol of atoms.


## 1
Computed, not measured: crystalline La2HgSe at its relaxed geometry at the PBE-GGA level of DFT.

Lattice parameters (Å, degrees): 8.220 8.220 6.939 53.68 53.68 90.00
Fractional coordinates of all 8 atoms:
Hg: 0.000 0.000 0.000
Hg: 0.750 0.250 0.500
Se: 0.500 0.500 0.000
Se: 0.250 0.750 0.500
La: 0.606 0.125 0.250
La: 0.144 0.625 0.250
La: 0.375 0.394 0.750
La: 0.875 0.856 0.750

Calculated values
**Crystal system**: tetragonal
**Total magnetization**: 0.00 μB per formula unit
**N(E_F)**: 5.603 states/eV/f.u.


## 2
Computed, not measured: crystalline La2HgSe at its relaxed geometry at the PBE-GGA level of DFT.

Lattice parameters (Å, degrees): 6.640 6.640 6.640 140.91 140.91 56.48
Fractional coordinates of all 4 atoms:
Hg: 0.750 0.250 0.500
La: 0.000 0.000 0.000
La: 0.250 0.750 0.500
Se: 0.500 0.500 0.000

Calculated values
**Crystal system**: tetragonal
**Total magnetization**: 0.00 μB per formula unit
**N(E_F)**: 4.094 states/eV/f.u.


Most stable structure - 1; separation to the second - 1.4 kJ/mol of atoms.


## 1
Computed, not measured: crystalline LaHgSe at its relaxed geometry at the PBE-GGA level of DFT.

Lattice parameters (Å, degrees): 4.869 4.869 4.652 90.00 90.00 120.00
Fractional coordinates of all 3 atoms:
Hg: 0.000 0.000 0.997
La: 0.667 0.333 0.425
Se: 0.333 0.667 0.577

Calculated values
**Crystal system**: trigonal
**Total magnetization**: 0.00 μB per formula unit
**N(E_F)**: 1.754 states/eV/f.u.


## 2
Computed, not measured: crystalline LaHgSe at its relaxed geometry at the PBE-GGA level of DFT.

Lattice parameters (Å, degrees): 5.128 5.128 5.128 60.00 60.00 60.00
Fractional coordinates of all 3 atoms:
Hg: 0.500 0.500 0.500
La: 0.250 0.250 0.250
Se: 0.000 0.000 0.000

Calculated values
**Crystal system**: cubic
**Total magnetization**: 0.00 μB per formula unit
**N(E_F)**: 3.252 states/eV/f.u.


Most stable structure - 1; separation to the second - 5.0 kJ/mol of atoms.